Entry 1:
# Mg2ZnSb

An optimized crystal structure of Mg2ZnSb (PBE-GGA, Alexandria).

```
Mg2ZnSb
1.0
5.259 0.073 0.017
1.415 5.066 0.017
-0.013 -0.010 3.249
Sb Zn Mg
1 1 2
Cartesian
2.623 0.031 1.633
0.701 2.528 1.633
3.337 2.570 0.017
0.000 0.000 0.000
```

Calculated values
* formation energy (no corrections): -81 meV per atom
* total magnetization: 0.00 μB per formula unit

***

Entry 2:
# La2TlCuO5

An optimized crystal structure of La2TlCuO5 (PBE-GGA, Alexandria).

```
La2TlCuO5
1.0
5.723 0.000 0.000
0.000 6.974 0.000
0.000 0.000 6.974
O La Tl Cu
10 4 2 2
Cartesian
1.384 0.881 4.368
4.340 0.881 4.368
1.384 4.368 6.093
4.340 4.368 6.093
4.340 6.093 2.606
1.384 6.093 2.606
2.862 0.000 0.000
4.340 2.606 0.881
2.862 3.487 3.487
1.384 2.606 0.881
2.862 5.707 4.754
2.862 1.267 2.220
2.862 4.754 1.267
2.862 2.220 5.707
0.000 3.487 3.487
0.000 0.000 0.000
0.000 0.000 3.487
0.000 3.487 0.000
```

Calculated values
* formation energy (no corrections): -2127 meV per atom
* total magnetization: 0.00 μB per formula unit

***

Entry 3:
# PmNd3Rh8

An optimized crystal structure of PmNd3Rh8 (PBE-GGA, Alexandria).

```
PmNd3Rh8
1.0
5.182 0.000 1.564
2.355 4.616 1.564
-0.005 -0.003 9.380
Rh Pm Nd
8 1 3
Cartesian
3.295 2.018 3.132
4.472 4.325 3.914
7.063 4.326 9.377
5.177 3.171 10.945
5.886 2.019 8.595
4.473 4.326 8.595
1.411 0.864 4.690
5.885 2.018 3.914
6.591 4.037 6.258
2.822 1.728 9.381
3.767 2.307 6.249
7.536 4.616 3.129
```

Calculated values
* total magnetization: 0.00 μB per formula unit
* energy of formation from the pure elements: -664 meV/atom